# GGA+U Sr3CrSi2O8, optimized geometry
# Total energy ... -101.4 eV/f.u.
# Magnetic moment ... 0.286 μB per atom
data_Sr3CrSi2O8
_symmetry_space_group_name_H-M 'P -3 m 1'
_symmetry_Int_Tables_number 164
_symmetry_space_group_name_Hall '-P 3 2"'
_cell_length_a 5.5673
_cell_length_b 5.5673
_cell_length_c 7.0519
_cell_angle_alpha 90.00
_cell_angle_beta 90.00
_cell_angle_gamma 120.00
loop_
_atom_site_label
_atom_site_type_symbol
_atom_site_fract_x
_atom_site_fract_y
_atom_site_fract_z
Sr1 Sr 0.0000 0.0000 0.0000
Sr2 Sr 0.3333 0.6667 0.6595
Cr1 Cr 0.0000 0.0000 0.5000
Si1 Si 0.3333 0.6667 0.2162
O1 O 0.1747 0.3494 0.3082
O2 O 0.3333 0.6667 0.9883